No. 1
# NaCdO2 PBE relaxed
data_NaCdO2
_chemical_formula_sum 'Na1 Cd1 O2'
_cell_length_a 3.291
_cell_length_b 3.291
_cell_length_c 5.866
_cell_angle_alpha 90.00
_cell_angle_beta 90.00
_cell_angle_gamma 60.00
_space_group_name_H-M_alt 'P 1'
_space_group_IT_number 1
_space_group_name_Hall 'P 1'
loop_
_atom_site_label
_atom_site_type_symbol
_atom_site_fract_x
_atom_site_fract_y
_atom_site_fract_z
O1 O 0.667 0.667 0.223
O2 O 0.333 0.333 0.777
Na1 Na 0.000 0.000 0.500
Cd1 Cd 0.000 0.000 0.000
# M_tot = 1.01 μB/cell
# ΔE_f (raw) = -0.898 eV per atom


No. 2
# Hf3TlI PBE relaxed
data_Hf3TlI
_chemical_formula_sum 'Hf3 Tl1 I1'
_cell_length_a 5.222
_cell_length_b 5.222
_cell_length_c 5.222
_cell_angle_alpha 90.00
_cell_angle_beta 90.00
_cell_angle_gamma 90.00
_space_group_name_H-M_alt 'P 1'
_space_group_IT_number 1
_space_group_name_Hall 'P 1'
loop_
_atom_site_label
_atom_site_type_symbol
_atom_site_fract_x
_atom_site_fract_y
_atom_site_fract_z
Hf1 Hf 0.000 0.000 0.500
Hf2 Hf 0.000 0.500 0.000
Hf3 Hf 0.500 0.000 0.000
I1 I 0.000 0.000 0.000
Tl1 Tl 0.500 0.500 0.500
# M_tot = 0.00 μB/cell
# ΔE_f (raw) = 1.201 eV per atom
# Energy above the lowest structure with this stoichiometry = 0.0 meV per atom


No. 3
# Sr2AlZn4Si3 PBE relaxed
data_Sr2AlZn4Si3
_chemical_formula_sum 'Sr2 Al1 Zn4 Si3'
_cell_length_a 4.269
_cell_length_b 4.269
_cell_length_c 10.779
_cell_angle_alpha 90.00
_cell_angle_beta 90.00
_cell_angle_gamma 90.00
_space_group_name_H-M_alt 'P 1'
_space_group_IT_number 1
_space_group_name_Hall 'P 1'
loop_
_atom_site_label
_atom_site_type_symbol
_atom_site_fract_x
_atom_site_fract_y
_atom_site_fract_z
Si1 Si 0.500 0.000 0.868
Si2 Si 0.000 0.000 0.500
Si3 Si 0.000 0.500 0.132
Zn1 Zn 0.000 0.000 0.000
Zn2 Zn 0.000 0.500 0.362
Zn3 Zn 0.500 0.000 0.638
Zn4 Zn 0.500 0.500 0.000
Sr1 Sr 0.500 0.000 0.244
Sr2 Sr 0.000 0.500 0.756
Al1 Al 0.500 0.500 0.500
# M_tot = 0.00 μB/cell
# ΔE_f (raw) = -0.301 eV per atom


No. 4
# Ca2PmDy PBE relaxed
data_Ca2PmDy
_chemical_formula_sum 'Ca2 Pm1 Dy1'
_cell_length_a 3.586
_cell_length_b 3.586
_cell_length_c 13.396
_cell_angle_alpha 82.31
_cell_angle_beta 82.31
_cell_angle_gamma 60.00
_space_group_name_H-M_alt 'P 1'
_space_group_IT_number 1
_space_group_name_Hall 'P 1'
loop_
_atom_site_label
_atom_site_type_symbol
_atom_site_fract_x
_atom_site_fract_y
_atom_site_fract_z
Dy1 Dy 0.500 0.500 0.500
Pm1 Pm 0.000 0.000 0.000
Ca1 Ca 0.089 0.089 0.733
Ca2 Ca 0.911 0.911 0.267
# M_tot = 0.64 μB/cell
# Energy above the lowest structure with this stoichiometry = 180.9 meV per atom


No. 5
# Ti12Ge6C PBE relaxed
data_Ti12Ge6C
_chemical_formula_sum 'Ti12 Ge6 C1'
_cell_length_a 7.020
_cell_length_b 7.020
_cell_length_c 7.020
_cell_angle_alpha 99.34
_cell_angle_beta 99.34
_cell_angle_gamma 99.34
_space_group_name_H-M_alt 'P 1'
_space_group_IT_number 1
_space_group_name_Hall 'P 1'
loop_
_atom_site_label
_atom_site_type_symbol
_atom_site_fract_x
_atom_site_fract_y
_atom_site_fract_z
Ti1 Ti 0.424 0.546 0.193
Ti2 Ti 0.061 0.009 0.305
Ti3 Ti 0.695 0.939 0.991
Ti4 Ti 0.939 0.991 0.695
Ti5 Ti 0.546 0.193 0.424
Ti6 Ti 0.305 0.061 0.009
Ti7 Ti 0.193 0.424 0.546
Ti8 Ti 0.807 0.576 0.454
Ti9 Ti 0.991 0.695 0.939
Ti10 Ti 0.009 0.305 0.061
Ti11 Ti 0.576 0.454 0.807
Ti12 Ti 0.454 0.807 0.576
C1 C 0.000 0.000 0.000
Ge1 Ge 0.696 0.880 0.346
Ge2 Ge 0.346 0.696 0.880
Ge3 Ge 0.654 0.304 0.120
Ge4 Ge 0.304 0.120 0.654
Ge5 Ge 0.120 0.654 0.304
Ge6 Ge 0.880 0.346 0.696
# M_tot = 0.01 μB/cell
# DFT total energy = -0.53321 Ry per atom


No. 6
# La2TlCrSi PBE relaxed
data_La2TlCrSi
_chemical_formula_sum 'La2 Tl1 Cr1 Si1'
_cell_length_a 5.780
_cell_length_b 4.607
_cell_length_c 5.780
_cell_angle_alpha 90.00
_cell_angle_beta 90.00
_cell_angle_gamma 90.00
_space_group_name_H-M_alt 'P 1'
_space_group_IT_number 1
_space_group_name_Hall 'P 1'
loop_
_atom_site_label
_atom_site_type_symbol
_atom_site_fract_x
_atom_site_fract_y
_atom_site_fract_z
Cr1 Cr 0.000 0.500 0.000
La1 La 0.000 0.000 0.500
La2 La 0.500 0.000 0.000
Tl1 Tl 0.500 0.500 0.500
Si1 Si 0.000 0.000 0.000
# M_tot = 2.89 μB/cell
# ΔE_f (raw) = -0.008 eV per atom


No. 7
# K4Nd3ThS8 PBE relaxed
data_K4Nd3ThS8
_chemical_formula_sum 'K4 Nd3 Th1 S8'
_cell_length_a 8.349
_cell_length_b 8.841
_cell_length_c 8.349
_cell_angle_alpha 118.19
_cell_angle_beta 120.00
_cell_angle_gamma 90.00
_space_group_name_H-M_alt 'P 1'
_space_group_IT_number 1
_space_group_name_Hall 'P 1'
loop_
_atom_site_label
_atom_site_type_symbol
_atom_site_fract_x
_atom_site_fract_y
_atom_site_fract_z
Nd1 Nd 0.500 0.500 0.000
Nd2 Nd 0.500 0.500 0.500
Nd3 Nd 0.000 0.500 0.500
S1 S 0.737 0.710 0.474
S2 S 0.767 0.291 0.534
S3 S 0.233 0.709 0.466
S4 S 0.743 0.709 0.976
S5 S 0.263 0.290 0.526
S6 S 0.233 0.709 0.976
S7 S 0.767 0.291 0.024
S8 S 0.257 0.291 0.024
K1 K 0.000 0.000 0.000
K2 K 0.000 0.000 0.500
K3 K 0.500 0.000 0.000
K4 K 0.500 0.000 0.500
Th1 Th 0.000 0.500 0.000
# M_tot = 0.00 μB/cell
# ΔE_f (raw) = -1.812 eV per atom


No. 8
# Sc2Co2Hg PBE relaxed
data_Sc2Co2Hg
_chemical_formula_sum 'Sc2 Co2 Hg1'
_cell_length_a 4.867
_cell_length_b 4.867
_cell_length_c 5.126
_cell_angle_alpha 61.66
_cell_angle_beta 61.66
_cell_angle_gamma 90.00
_space_group_name_H-M_alt 'P 1'
_space_group_IT_number 1
_space_group_name_Hall 'P 1'
loop_
_atom_site_label
_atom_site_type_symbol
_atom_site_fract_x
_atom_site_fract_y
_atom_site_fract_z
Sc1 Sc 0.750 0.250 0.500
Sc2 Sc 0.250 0.750 0.500
Hg1 Hg 0.000 0.000 0.000
Co1 Co 0.352 0.352 0.297
Co2 Co 0.648 0.648 0.703
# M_tot = 0.69 μB/cell
# DFT total energy = -0.40279 Ry per atom


No. 9
# MoPb2Br PBE relaxed
data_MoPb2Br
_chemical_formula_sum 'Mo1 Pb2 Br1'
_cell_length_a 9.302
_cell_length_b 9.302
_cell_length_c 9.302
_cell_angle_alpha 22.15
_cell_angle_beta 22.15
_cell_angle_gamma 22.15
_space_group_name_H-M_alt 'P 1'
_space_group_IT_number 1
_space_group_name_Hall 'P 1'
loop_
_atom_site_label
_atom_site_type_symbol
_atom_site_fract_x
_atom_site_fract_y
_atom_site_fract_z
Br1 Br 0.250 0.250 0.250
Mo1 Mo 0.750 0.750 0.750
Pb1 Pb 0.009 0.009 0.009
Pb2 Pb 0.491 0.491 0.491
# M_tot = 0.00 μB/cell
# ΔE_f (raw) = 0.447 eV per atom
# Energy above the lowest structure with this stoichiometry = 197.9 meV per atom


No. 10
# KCd5 PBE relaxed
data_KCd5
_chemical_formula_sum 'K1 Cd5'
_cell_length_a 5.007
_cell_length_b 4.996
_cell_length_c 7.991
_cell_angle_alpha 90.00
_cell_angle_beta 90.00
_cell_angle_gamma 120.08
_space_group_name_H-M_alt 'P 1'
_space_group_IT_number 1
_space_group_name_Hall 'P 1'
loop_
_atom_site_label
_atom_site_type_symbol
_atom_site_fract_x
_atom_site_fract_y
_atom_site_fract_z
Cd1 Cd 0.168 0.335 0.197
Cd2 Cd 0.500 0.000 0.000
Cd3 Cd 0.832 0.665 0.803
Cd4 Cd 0.166 0.332 0.803
Cd5 Cd 0.834 0.668 0.197
K1 K 0.500 0.000 0.500
# M_tot = 0.00 μB/cell
# Energy above the lowest structure with this stoichiometry = 31.3 meV per atom


No. 11
# BaNi PBE relaxed
data_BaNi
_chemical_formula_sum 'Ba6 Ni6'
_cell_length_a 11.487
_cell_length_b 4.042
_cell_length_c 8.132
_cell_angle_alpha 90.00
_cell_angle_beta 90.00
_cell_angle_gamma 90.00
_space_group_name_H-M_alt 'P 1'
_space_group_IT_number 1
_space_group_name_Hall 'P 1'
loop_
_atom_site_label
_atom_site_type_symbol
_atom_site_fract_x
_atom_site_fract_y
_atom_site_fract_z
Ni1 Ni 0.000 0.000 0.502
Ni2 Ni 0.397 0.000 0.084
Ni3 Ni 0.103 0.500 0.584
Ni4 Ni 0.603 0.000 0.084
Ni5 Ni 0.897 0.500 0.584
Ni6 Ni 0.500 0.500 0.002
Ba1 Ba 0.815 0.500 0.240
Ba2 Ba 0.685 0.000 0.740
Ba3 Ba 0.000 0.000 0.853
Ba4 Ba 0.185 0.500 0.240
Ba5 Ba 0.500 0.500 0.353
Ba6 Ba 0.315 0.000 0.740
# M_tot = 0.00 μB/cell
# DFT total energy = -0.26932 Ry per atom


No. 12
# AcYZnBi PBE relaxed
data_AcYZnBi
_chemical_formula_sum 'Ac1 Y1 Zn1 Bi1'
_cell_length_a 5.544
_cell_length_b 5.544
_cell_length_c 5.544
_cell_angle_alpha 60.00
_cell_angle_beta 60.00
_cell_angle_gamma 60.00
_space_group_name_H-M_alt 'P 1'
_space_group_IT_number 1
_space_group_name_Hall 'P 1'
loop_
_atom_site_label
_atom_site_type_symbol
_atom_site_fract_x
_atom_site_fract_y
_atom_site_fract_z
Bi1 Bi 0.000 0.000 0.000
Zn1 Zn 0.500 0.500 0.500
Ac1 Ac 0.250 0.250 0.250
Y1 Y 0.750 0.750 0.750
# M_tot = 0.00 μB/cell
# DFT total energy = -0.31821 Ry per atom


No. 13
# Y2CdCl PBE relaxed
data_Y2CdCl
_chemical_formula_sum 'Y2 Cd1 Cl1'
_cell_length_a 3.407
_cell_length_b 3.407
_cell_length_c 8.514
_cell_angle_alpha 90.00
_cell_angle_beta 90.00
_cell_angle_gamma 90.00
_space_group_name_H-M_alt 'P 1'
_space_group_IT_number 1
_space_group_name_Hall 'P 1'
loop_
_atom_site_label
_atom_site_type_symbol
_atom_site_fract_x
_atom_site_fract_y
_atom_site_fract_z
Y1 Y 0.000 0.000 0.002
Y2 Y 0.000 0.000 0.498
Cl1 Cl 0.500 0.500 0.750
Cd1 Cd 0.500 0.500 0.250
# M_tot = 0.00 μB/cell
# ΔE_f (raw) = -0.627 eV per atom
# Energy above the lowest structure with this stoichiometry = 168.0 meV per atom


No. 14
# Al3H PBE relaxed
data_Al3H
_chemical_formula_sum 'Al3 H1'
_cell_length_a 4.356
_cell_length_b 4.356
_cell_length_c 4.356
_cell_angle_alpha 60.00
_cell_angle_beta 60.00
_cell_angle_gamma 60.00
_space_group_name_H-M_alt 'P 1'
_space_group_IT_number 1
_space_group_name_Hall 'P 1'
loop_
_atom_site_label
_atom_site_type_symbol
_atom_site_fract_x
_atom_site_fract_y
_atom_site_fract_z
H1 H 0.000 0.000 0.000
Al1 Al 0.500 0.500 0.500
Al2 Al 0.250 0.250 0.250
Al3 Al 0.750 0.750 0.750
# M_tot = 0.21 μB/cell
# Energy above the lowest structure with this stoichiometry = 254.6 meV per atom


No. 15
# La2FeCuIr PBE relaxed
data_La2FeCuIr
_chemical_formula_sum 'La2 Fe1 Cu1 Ir1'
_cell_length_a 5.400
_cell_length_b 5.400
_cell_length_c 4.566
_cell_angle_alpha 90.00
_cell_angle_beta 90.00
_cell_angle_gamma 90.00
_space_group_name_H-M_alt 'P 1'
_space_group_IT_number 1
_space_group_name_Hall 'P 1'
loop_
_atom_site_label
_atom_site_type_symbol
_atom_site_fract_x
_atom_site_fract_y
_atom_site_fract_z
Fe1 Fe 0.500 0.500 0.500
Cu1 Cu 0.000 0.000 0.000
La1 La 0.500 0.000 0.000
La2 La 0.000 0.500 0.000
Ir1 Ir 0.000 0.000 0.500
# M_tot = 2.42 μB/cell
# DFT total energy = -0.41730 Ry per atom


No. 16
# Sm2BS5 PBE relaxed
data_Sm2BS5
_chemical_formula_sum 'Sm2 B1 S5'
_cell_length_a 6.522
_cell_length_b 6.519
_cell_length_c 6.493
_cell_angle_alpha 124.90
_cell_angle_beta 124.96
_cell_angle_gamma 89.43
_space_group_name_H-M_alt 'P 1'
_space_group_IT_number 1
_space_group_name_Hall 'P 1'
loop_
_atom_site_label
_atom_site_type_symbol
_atom_site_fract_x
_atom_site_fract_y
_atom_site_fract_z
S1 S 0.867 0.238 0.131
S2 S 0.789 0.789 0.501
S3 S 0.292 0.292 0.989
S4 S 0.238 0.867 0.131
S5 S 0.660 0.660 0.858
B1 B 0.904 0.904 0.920
Sm1 Sm 0.241 0.784 0.511
Sm2 Sm 0.784 0.242 0.511
# M_tot = 0.00 μB/cell
# ΔE_f (raw) = -1.266 eV per atom


No. 17
# Al3Ga PBE relaxed
data_Al3Ga
_chemical_formula_sum 'Al3 Ga1'
_cell_length_a 3.983
_cell_length_b 3.983
_cell_length_c 5.108
_cell_angle_alpha 112.95
_cell_angle_beta 112.95
_cell_angle_gamma 90.00
_space_group_name_H-M_alt 'P 1'
_space_group_IT_number 1
_space_group_name_Hall 'P 1'
loop_
_atom_site_label
_atom_site_type_symbol
_atom_site_fract_x
_atom_site_fract_y
_atom_site_fract_z
Al1 Al 0.750 0.250 0.500
Al2 Al 0.500 0.500 0.000
Al3 Al 0.250 0.750 0.500
Ga1 Ga 0.000 0.000 0.000
# M_tot = 0.00 μB/cell
# DFT total energy = -0.26017 Ry per atom


No. 18
# Na2AgW PBE relaxed
data_Na2AgW
_chemical_formula_sum 'Na2 Ag1 W1'
_cell_length_a 5.076
_cell_length_b 5.076
_cell_length_c 5.076
_cell_angle_alpha 60.00
_cell_angle_beta 60.00
_cell_angle_gamma 60.00
_space_group_name_H-M_alt 'P 1'
_space_group_IT_number 1
_space_group_name_Hall 'P 1'
loop_
_atom_site_label
_atom_site_type_symbol
_atom_site_fract_x
_atom_site_fract_y
_atom_site_fract_z
Ag1 Ag 0.000 0.000 0.000
Na1 Na 0.250 0.250 0.250
Na2 Na 0.750 0.750 0.750
W1 W 0.500 0.500 0.500
# M_tot = 4.58 μB/cell
# Energy above the lowest structure with this stoichiometry = 0.0 meV per atom


No. 19
# Zn3CuIr PBE relaxed
data_Zn3CuIr
_chemical_formula_sum 'Zn6 Cu2 Ir2'
_cell_length_a 4.314
_cell_length_b 6.642
_cell_length_c 5.225
_cell_angle_alpha 100.44
_cell_angle_beta 90.00
_cell_angle_gamma 108.95
_space_group_name_H-M_alt 'P 1'
_space_group_IT_number 1
_space_group_name_Hall 'P 1'
loop_
_atom_site_label
_atom_site_type_symbol
_atom_site_fract_x
_atom_site_fract_y
_atom_site_fract_z
Zn1 Zn 0.003 0.005 0.751
Zn2 Zn 0.206 0.412 0.639
Zn3 Zn 0.997 0.995 0.249
Zn4 Zn 0.607 0.213 0.915
Zn5 Zn 0.794 0.588 0.361
Zn6 Zn 0.393 0.787 0.085
Ir1 Ir 0.811 0.623 0.865
Ir2 Ir 0.189 0.377 0.135
Cu1 Cu 0.404 0.807 0.582
Cu2 Cu 0.596 0.193 0.418
# M_tot = 0.00 μB/cell
# Energy above the lowest structure with this stoichiometry = 0.0 meV per atom


No. 20
# HfTc3Ir PBE relaxed
data_HfTc3Ir
_chemical_formula_sum 'Hf1 Tc3 Ir1'
_cell_length_a 4.617
_cell_length_b 4.617
_cell_length_c 4.617
_cell_angle_alpha 90.00
_cell_angle_beta 90.00
_cell_angle_gamma 90.00
_space_group_name_H-M_alt 'P 1'
_space_group_IT_number 1
_space_group_name_Hall 'P 1'
loop_
_atom_site_label
_atom_site_type_symbol
_atom_site_fract_x
_atom_site_fract_y
_atom_site_fract_z
Ir1 Ir 0.500 0.500 0.500
Hf1 Hf 0.000 0.000 0.000
Tc1 Tc 0.000 0.000 0.500
Tc2 Tc 0.000 0.500 0.000
Tc3 Tc 0.500 0.000 0.000
# M_tot = 0.00 μB/cell
# Energy above the lowest structure with this stoichiometry = 803.9 meV per atom